YScBeAl: optimized geometry, GGA-PBE.

Properties
energy of formation from the pure elements	-0.1745	eV per atom

a = 4.829 Å, b = 4.829 Å, c = 4.829 Å
α = 60.00°, β = 60.00°, γ = 60.00°
Fractional coordinates of all 4 atoms:
Y1 0.750 0.750 0.750
Sc1 0.250 0.250 0.250
Be1 0.000 0.000 0.000
Al1 0.500 0.500 0.500

=====

KTa2Se: optimized geometry, GGA-PBE.

Properties
raw formation energy	0.9099	eV per atom

a = 3.337 Å, b = 4.737 Å, c = 5.544 Å
α = 90.00°, β = 90.00°, γ = 90.00°
Fractional coordinates of all 4 atoms:
K1 0.500 0.000 0.500
Se1 0.000 0.500 0.500
Ta1 0.000 0.000 0.000
Ta2 0.500 0.500 0.000

=====

Please write out number 2 again, unchanged.
KTa2Se: optimized geometry, GGA-PBE.

Properties
raw formation energy	0.9099	eV per atom

a = 3.337 Å, b = 4.737 Å, c = 5.544 Å
α = 90.00°, β = 90.00°, γ = 90.00°
Fractional coordinates of all 4 atoms:
K1 0.500 0.000 0.500
Se1 0.000 0.500 0.500
Ta1 0.000 0.000 0.000
Ta2 0.500 0.500 0.000